# CeNdEr4

An optimized crystal structure of CeNdEr4 (GGA-PBE, Alexandria).

**Fermi-level density of states**: 11.06 states/eV/f.u.
**Theoretical density**: 8.4 Mg/m³
**Total energy**: -4.77 eV/atom
**Polymorph energy (0 for the lowest one)**: 0 meV/atom
**Space-group type**: P2/m
**Total magnetic moment**: 0.81 μB per formula unit

Cell: 3.5314 8.6433 6.1441 Å, 90.05 89.99 90.00°
Closest atoms and distances in Å follow each position.
Sites, in units of the cell vectors:
Ce1 0.0000 0.0000 0.0000  6 Er 3.52-3.55, 2 Ce 3.53, 4 Nd 3.54
Nd1 0.5000 0.0000 0.5000  2 Nd 3.53, 6 Er 3.54-3.57, 4 Ce 3.54
Er1 0.9998 0.3374 0.3298  9 Er 3.50-3.58, 1 Ce 3.55, 2 Nd 3.57
Er2 0.0002 0.6626 0.6702  9 Er 3.50-3.58, 1 Ce 3.55, 2 Nd 3.57
Er3 0.4999 0.3329 0.8361  9 Er 3.50-3.58, 2 Ce 3.52, 1 Nd 3.54
Er4 0.5001 0.6671 0.1639  9 Er 3.50-3.58, 2 Ce 3.52, 1 Nd 3.54

***

# BaCd4Ag2Hg

An optimized crystal structure of BaCd4Ag2Hg (GGA-PBE, Alexandria).

**Fermi-level density of states**: 2.15 states/eV/f.u.
**Theoretical density**: 7.9 Mg/m³
**Total energy**: -1.57 eV/atom
**Space-group type**: R-3m
**Total magnetic moment**: 0.00 μB per formula unit

Cell: 4.8240 4.8240 10.7932 Å, 77.09 77.09 60.00°
Closest atoms and distances in Å follow each position.
Sites, in units of the cell vectors:
Ba1 0.0000 0.0000 0.0000  8 Cd 3.55-3.94, 6 Ag 3.94
Cd1 0.4037 0.4037 0.7889  3 Ag 2.85, 1 Hg 3.01
Cd2 0.8741 0.8741 0.3776  3 Ag 3.01, 3 Hg 3.06, 3 Cd 3.28
Cd3 0.1259 0.1259 0.6224  3 Ag 3.01, 3 Hg 3.06, 3 Cd 3.28
Cd4 0.5963 0.5963 0.2111  3 Ag 2.85, 1 Hg 3.01
Ag1 0.7558 0.7558 0.7326  6 Cd 2.85-3.01
Ag2 0.2442 0.2442 0.2674  6 Cd 2.85-3.01
Hg1 0.5000 0.5000 0.5000  8 Cd 3.01-3.06

***

# PrTh2Cu2Ge2

An optimized crystal structure of PrTh2Cu2Ge2 (GGA-PBE, Alexandria).

**Fermi-level density of states**: 6.43 states/eV/f.u.
**Theoretical density**: 8.8 Mg/m³
**Total energy**: -5.71 eV/atom
**Space-group type**: R-3m
**Total magnetic moment**: 0.00 μB per formula unit

Cell: 4.1416 4.1416 11.4267 Å, 79.56 79.56 60.00°
Closest atoms and distances in Å follow each position.
Sites, in units of the cell vectors:
Pr1 0.0000 0.0000 0.0000  6 Ge 3.16, 6 Cu 3.30
Th1 0.1242 0.1242 0.6273  3 Cu 3.05, 3 Ge 3.18
Th2 0.8758 0.8758 0.3727  3 Cu 3.05, 3 Ge 3.18
Cu1 0.5990 0.5990 0.2029  3 Ge 2.40
Cu2 0.4010 0.4010 0.7971  3 Ge 2.40
Ge1 0.7285 0.7285 0.8145  3 Cu 2.40
Ge2 0.2715 0.2715 0.1855  3 Cu 2.40

***

# Cr2FePt

An optimized crystal structure of Cr2FePt (GGA-PBE, Alexandria).

**Fermi-level density of states**: 3.99 states/eV/f.u.
**Theoretical density**: 11.6 Mg/m³
**Total energy**: -8.30 eV/atom
**Space-group type**: R3m
**Total magnetic moment**: 0.55 μB per formula unit

Cell: 8.6400 8.6400 8.6400 Å, 17.51 17.51 17.51°
Closest atoms and distances in Å follow each position.
Sites, in units of the cell vectors:
Cr1 0.9968 0.9968 0.9968  9 Cr 2.60-2.63, 3 Pt 2.68
Cr2 0.2476 0.2476 0.2476  3 Fe 2.45, 9 Cr 2.60-2.63
Fe1 0.5056 0.5056 0.5056  3 Cr 2.45, 6 Fe 2.63, 3 Pt 2.73
Pt1 0.7500 0.7500 0.7500  6 Pt 2.63, 3 Cr 2.68, 3 Fe 2.73

***

# HfPd2PbCl

An optimized crystal structure of HfPd2PbCl (GGA-PBE, Alexandria).

**Fermi-level density of states**: 4.97 states/eV/f.u.
**Theoretical density**: 9.3 Mg/m³
**Total energy**: -4.66 eV/atom
**Polymorph energy (0 for the lowest one)**: 34 meV/atom
**Raw formation energy**: 0.518 eV per atom
**Space-group type**: P4/mmm
**Total magnetic moment**: 0.00 μB per formula unit

Cell: 4.5218 5.5486 4.5218 Å, 90.00 90.00 90.00°
Closest atoms and distances in Å follow each position.
Sites, in units of the cell vectors:
Pb1 0.0000 0.5000 0.0000  2 Cl 2.77
Hf1 0.5000 0.5000 0.5000  4 Pb 3.20, 8 Pd 3.58
Pd1 0.0000 0.0000 0.5000  2 Cl 2.26
Pd2 0.5000 0.0000 0.0000  2 Cl 2.26
Cl1 0.0000 0.0000 0.0000  4 Pd 2.26

***

# NaIn3I9

An optimized crystal structure of NaIn3I9 (GGA-PBE, Alexandria).

**Fermi-level density of states**: 6.76 states/eV/f.u.
**Theoretical density**: 3.5 Mg/m³
**Total energy**: -2.35 eV/atom
**Raw formation energy**: -0.541 eV per atom
**Space-group type**: Cc
**Total magnetic moment**: 0.00 μB per formula unit

Cell: 11.0959 11.8548 13.4797 Å, 73.07 65.70 62.10°
Closest atoms and distances in Å follow each position.
Sites, in units of the cell vectors:
Na1 0.0137 0.4972 0.9941  6 I 3.21-3.53
Na2 0.4950 0.9972 0.4941  6 I 3.21-3.53
In1 0.7749 0.5591 0.6966  4 I 2.81-3.04
In2 0.9695 0.0591 0.1966  4 I 2.81-3.04
In3 0.9980 0.9505 0.8022  4 I 2.75-2.95
In4 0.2493 0.4505 0.3022  4 I 2.75-2.95
In5 0.5523 0.2452 0.7315  4 I 2.71-2.85
In6 0.4710 0.7452 0.2315  4 I 2.71-2.85
I1 0.3737 0.1864 0.2967  1 In 2.78
I2 0.1432 0.6864 0.7967  1 In 2.78
I3 0.3887 0.3149 0.9358  1 In 2.71
I4 0.3605 0.8149 0.4358  1 In 2.71
I5 0.1311 0.0965 0.6366  1 In 2.75
I6 0.1358 0.5965 0.1366  1 In 2.75
I7 0.7323 0.7566 0.1073  1 In 2.73
I8 0.4037 0.2566 0.6073  1 In 2.73
I9 0.8370 0.9482 0.4021  1 In 2.81
I10 0.8127 0.4482 0.9021  1 In 2.81
I11 0.5301 0.7941 0.7082  1 In 2.83
I12 0.9675 0.2941 0.2082  1 In 2.83
I13 0.5172 0.4826 0.2531  2 In 2.85-2.95
I14 0.7470 0.9826 0.7531  2 In 2.85-2.95
I15 0.7163 0.3919 0.6039  2 In 2.82-3.04
I16 0.2879 0.8919 0.1039  2 In 2.82-3.04
I17 0.9082 0.0343 0.0096  2 In 2.86-2.99
I18 0.0480 0.5343 0.5096  2 In 2.86-2.99

***

# KFeI2

An optimized crystal structure of KFeI2 (GGA-PBE, Alexandria).

**Fermi-level density of states**: 12.91 states/eV/f.u.
**Theoretical density**: 4.7 Mg/m³
**Total energy**: -3.20 eV/atom
**Polymorph energy (0 for the lowest one)**: 371 meV/atom
**Raw formation energy**: -0.040 eV per atom
**Space-group type**: Fm-3m
**Total magnetic moment**: 3.06 μB per formula unit

Cell: 5.5812 5.5812 5.5812 Å, 60.00 60.00 60.00°
Closest atoms and distances in Å follow each position.
Sites, in units of the cell vectors:
I1 0.2500 0.2500 0.2500  4 Fe 3.42, 4 K 3.42
I2 0.7500 0.7500 0.7500  4 Fe 3.42, 4 K 3.42
K1 0.0000 0.0000 0.0000  8 I 3.42
Fe1 0.5000 0.5000 0.5000  8 I 3.42

***

Q: Number 6 is which compound?
A: NaIn3I9

***

Q: The highest theoretical density belongs to which entry?
A: Cr2FePt

***

Q: Among the records above, which one has the highest theoretical density?
A: Cr2FePt

***

Q: The lowest total energy belongs to which entry?
A: Cr2FePt